# 1
GGA-PBE HfSnP2O, optimized geometry; formation energy from raw total energies = -0.67 eV per atom; offset from the most stable computed form = 0 meV per atom
1.0
5.165 0.000 0.000
0.000 5.165 0.000
0.000 0.000 3.954
Hf Sn P O
1 1 2 1
Cartesian
0.000 0.000 0.000
2.582 2.582 1.977
0.000 2.582 0.000
2.582 0.000 0.000
0.000 0.000 1.977


# 2
GGA-PBE ZrHg4Ir, optimized geometry; energy of formation from the pure elements = 0.49 eV/atom
1.0
0.000 3.972 3.972
3.972 0.000 3.972
3.972 3.972 0.000
Zr Hg Ir
1 4 1
Cartesian
0.000 0.000 0.000
4.964 2.981 2.981
2.981 4.964 2.981
2.981 2.981 4.964
4.964 4.964 4.964
1.986 1.986 1.986


# 3
GGA-PBE Th5In2Re2, optimized geometry; energy of formation from the pure elements = -0.10 eV/atom
1.0
8.229 -3.966 0.000
8.229 3.966 0.000
0.000 0.000 7.944
Th In Re
10 4 4
Cartesian
0.000 0.000 0.000
6.348 2.663 5.266
6.348 1.303 1.294
10.110 2.663 5.266
10.110 1.303 1.294
8.229 0.000 3.972
6.348 -1.303 6.651
6.348 -2.663 2.678
10.110 -1.303 6.651
10.110 -2.663 2.678
3.572 0.000 0.000
4.658 0.000 3.972
11.801 0.000 3.972
12.887 0.000 0.000
8.229 2.906 2.901
8.229 1.060 6.873
8.229 -1.060 1.072
8.229 -2.906 5.044


# 4
GGA-PBE LaBe2P, optimized geometry; energy of formation from the pure elements = -0.31 eV/atom
1.0
3.572 0.000 0.000
0.000 3.572 0.000
0.000 0.000 5.525
La Be P
1 2 1
Cartesian
0.000 0.000 0.000
0.000 1.786 2.758
1.786 0.000 2.758
1.786 1.786 1.479


# 5
GGA-PBE Pm4Be2Ge5, optimized geometry; energy of formation from the pure elements = -0.62 eV/atom
1.0
6.987 0.000 0.000
0.000 4.260 0.000
-0.278 0.000 7.935
Pm Be Ge
4 2 5
Cartesian
1.564 0.000 1.063
1.656 0.000 5.008
5.053 0.000 2.927
5.145 0.000 6.872
0.420 2.130 3.066
6.290 2.130 4.868
0.451 2.130 6.873
2.704 2.130 2.880
3.494 2.130 0.000
4.006 2.130 5.055
6.258 2.130 1.062


# 6
GGA-PBE Pm4Dy2Y3, optimized geometry; energy of formation from the pure elements = 0.02 eV/atom
1.0
7.637 -2.545 0.000
7.637 2.545 0.000
-2.546 0.000 7.635
Pm Dy Y
4 2 3
Cartesian
-0.003 0.000 2.533
2.540 0.000 5.099
10.189 0.000 2.536
12.732 0.000 5.102
0.007 0.000 7.635
12.721 0.000 0.001
5.087 0.000 2.532
7.637 0.000 0.000
7.641 0.000 5.104


# 7
GGA-PBE TmNiSnHg, optimized geometry; energy of formation from the pure elements = -0.24 eV/atom
1.0
0.000 3.451 3.451
3.451 0.000 3.451
3.451 3.451 0.000
Tm Ni Sn Hg
1 1 1 1
Cartesian
0.000 0.000 0.000
1.725 1.725 1.725
3.451 3.451 3.451
5.176 5.176 5.176


# 8
GGA-PBE Rb3TiSe, optimized geometry; formation energy from raw total energies = 0.22 eV per atom; offset from the most stable computed form = 0 meV per atom
1.0
6.659 0.000 0.000
0.000 6.659 0.000
0.000 0.000 6.659
Rb Ti Se
3 1 1
Cartesian
0.000 0.000 3.329
0.000 3.329 0.000
3.329 0.000 0.000
3.329 3.329 3.329
0.000 0.000 0.000


# 9
GGA-PBE ZrZnSiO2, optimized geometry; formation energy from raw total energies = -0.32 eV per atom
1.0
3.918 0.000 0.000
0.000 3.918 0.000
0.000 0.000 4.660
Zr Zn Si O
1 1 1 2
Cartesian
0.000 0.000 0.000
1.959 1.959 2.330
1.959 1.959 0.000
0.000 1.959 2.330
1.959 0.000 2.330


# 10
GGA-PBE TaTiAl2, optimized geometry; energy of formation from the pure elements = -0.32 eV/atom; offset from the most stable computed form = 10 meV per atom
1.0
2.841 0.000 0.000
0.000 2.841 0.000
0.000 0.000 8.185
Ta Ti Al
1 1 2
Cartesian
0.000 0.000 0.000
0.000 0.000 4.093
1.420 1.420 2.071
1.420 1.420 6.114


# 11
GGA-PBE DyLuO2, optimized geometry; formation energy from raw total energies = -2.96 eV per atom
1.0
1.755 1.013 6.465
-1.755 1.013 6.465
0.000 -2.026 6.465
Dy Lu O
1 1 2
Cartesian
0.000 0.000 0.000
0.000 0.000 9.697
0.000 0.000 2.210
0.000 0.000 17.184


# 12
GGA-PBE Cs3BiBr6, optimized geometry; formation energy from raw total energies = -1.41 eV per atom; offset from the most stable computed form = 8 meV per atom
1.0
7.304 -4.273 0.000
7.304 4.273 0.000
-4.745 0.000 7.570
Cs Bi Br
3 1 6
Cartesian
0.000 0.000 0.000
0.071 0.000 5.481
9.792 0.000 2.089
4.931 0.000 3.785
3.213 2.026 4.909
3.364 0.000 1.344
6.650 2.026 2.661
3.213 -2.026 4.909
6.499 0.000 6.226
6.650 -2.026 2.661


# 13
GGA-PBE TmNbNiOs, optimized geometry; energy of formation from the pure elements = -0.20 eV/atom
1.0
0.000 3.240 3.240
3.240 0.000 3.240
3.240 3.240 0.000
Tm Nb Ni Os
1 1 1 1
Cartesian
0.000 0.000 0.000
3.240 3.240 3.240
1.620 1.620 1.620
4.861 4.861 4.861


# 14
GGA-PBE Ba2ZnH, optimized geometry; offset from the most stable computed form = 3 meV per atom
1.0
2.247 1.297 7.537
-2.247 1.297 7.537
0.000 -2.595 7.537
Ba Zn H
2 1 1
Cartesian
0.000 0.000 5.382
0.000 0.000 17.228
0.000 0.000 0.000
0.000 0.000 11.305


# 15
GGA-PBE ScMnAsBr2, optimized geometry; formation energy from raw total energies = -0.24 eV per atom; offset from the most stable computed form = 0 meV per atom
1.0
5.123 0.000 0.000
0.000 5.123 0.000
0.000 0.000 5.510
Sc Mn As Br
1 1 1 2
Cartesian
0.000 0.000 0.000
2.562 2.562 2.755
0.000 0.000 2.755
0.000 2.562 0.000
2.562 0.000 0.000


# 16
GGA-PBE Pr5YEr2Th, optimized geometry; energy of formation from the pure elements = 0.14 eV/atom
1.0
2.725 -10.883 0.000
2.725 10.883 0.000
0.000 0.000 10.671
Pr Y Er Th
10 2 4 2
Cartesian
2.725 10.881 0.000
2.725 -10.881 5.335
2.725 8.148 8.005
2.725 6.042 0.613
2.725 6.050 4.732
2.725 0.060 2.668
2.725 -0.060 8.004
2.725 -6.042 5.949
2.725 -6.050 10.068
2.725 -8.148 2.670
2.725 8.667 2.668
2.725 -8.667 8.004
2.725 2.459 5.396
2.725 2.452 10.611
2.725 -2.459 0.061
2.725 -2.452 5.275
2.725 4.639 8.007
2.725 -4.639 2.672


# 17
GGA-PBE Dy3Si2Rh6, optimized geometry; formation energy from raw total energies = -0.83 eV per atom
1.0
-4.638 4.638 4.638
4.638 -4.638 4.638
4.638 4.638 -4.638
Dy Si Rh
6 4 12
Cartesian
2.726 0.000 0.000
6.551 0.000 0.000
0.000 2.726 0.000
0.000 0.000 2.726
0.000 6.551 0.000
0.000 0.000 6.551
2.319 2.319 -2.319
2.319 -2.319 2.319
-2.319 2.319 2.319
2.319 2.319 2.319
4.638 1.731 -1.731
4.638 -1.731 1.731
1.731 4.638 -1.731
2.908 2.908 0.000
2.908 0.000 2.908
1.731 -1.731 4.638
4.638 1.731 1.731
0.000 2.908 2.908
-1.731 4.638 1.731
-1.731 1.731 4.638
1.731 4.638 1.731
1.731 1.731 4.638


# 18
GGA-PBE Ag4Pd9Au11, optimized geometry; energy of formation from the pure elements = -0.05 eV/atom
1.0
8.288 -8.665 0.000
8.288 8.665 0.000
0.000 0.000 2.848
Ag Pd Au
4 9 11
Cartesian
2.333 1.422 0.000
2.333 -1.422 0.000
14.242 1.422 0.000
14.242 -1.422 0.000
0.000 0.000 0.000
6.266 4.487 0.000
6.368 1.535 0.000
10.309 4.487 0.000
6.368 -1.535 0.000
10.207 1.535 0.000
6.266 -4.487 0.000
10.207 -1.535 0.000
10.309 -4.487 0.000
4.324 2.941 1.424
8.288 6.095 1.424
4.455 0.000 1.424
8.288 3.086 1.424
4.324 -2.941 1.424
8.288 0.000 1.424
12.251 2.941 1.424
8.288 -3.086 1.424
12.120 0.000 1.424
8.288 -6.095 1.424
12.251 -2.941 1.424


# 19
GGA-PBE TaBP2Cl, optimized geometry; formation energy from raw total energies = 0.97 eV per atom; offset from the most stable computed form = 147 meV per atom
1.0
4.834 0.000 0.000
0.000 4.834 0.000
0.000 0.000 4.858
Ta B P Cl
1 1 2 1
Cartesian
0.000 0.000 0.000
2.417 2.417 2.429
0.000 2.417 0.000
2.417 0.000 0.000
0.000 0.000 2.429


# 20
GGA-PBE LiEuYPd, optimized geometry; energy of formation from the pure elements = -0.32 eV/atom
1.0
0.000 3.629 3.629
3.629 0.000 3.629
3.629 3.629 0.000
Li Eu Y Pd
1 1 1 1
Cartesian
0.000 0.000 0.000
1.815 1.815 1.815
5.444 5.444 5.444
3.629 3.629 3.629


| no. | uncorrected energy (eV per atom) |
| --- | --- |
| 1 | -6.617 |
| 2 | -2.611 |
| 3 | -7.598 |
| 4 | -4.755 |
| 5 | -5.126 |
| 6 | -5.271 |
| 7 | -3.879 |
| 8 | -2.639 |
| 9 | -5.357 |
| 10 | -7.124 |
| 11 | -7.721 |
| 12 | -3.058 |
| 13 | -8.088 |
| 14 | -2.246 |
| 15 | -4.942 |
| 16 | -5.070 |
| 17 | -7.079 |
| 18 | -3.976 |
| 19 | -5.271 |
| 20 | -6.284 |